1.
# Y2TiZnN

A geometry-optimized Y2TiZnN structure (PBE, Alexandria).

Cell lengths 4.906, 4.906, 4.031 Å; angles 90.00, 90.00, 90.00 degrees
Fractional positions:
Y 0.000 0.500 0.000
Y 0.500 0.000 0.000
Ti 0.000 0.000 0.500
Zn 0.500 0.500 0.500
N 0.000 0.000 0.000

Summary:
magnetization	1.39	μB per formula unit
formation energy from raw total energies	-0.7917	eV/atom

***

2.
# CeThPa2

A geometry-optimized CeThPa2 structure (PBE, Alexandria).

Cell lengths 5.892, 5.892, 5.892 Å; angles 132.91, 132.91, 68.79 degrees
Fractional positions:
Ce 0.000 0.000 0.000
Th 0.500 0.500 0.000
Pa 0.250 0.750 0.500
Pa 0.750 0.250 0.500

Summary:
distance to the lowest polymorph of the same formula	0.000	eV/atom
magnetization	0.00	μB per formula unit
formation energy from the elements	0.079	eV per atom

***

3.
# Tm5CdCo4

A geometry-optimized Tm5CdCo4 structure (PBE, Alexandria).

Cell lengths 3.314, 3.314, 17.545 Å; angles 90.00, 90.00, 90.00 degrees
Fractional positions:
Tm 0.000 0.000 0.000
Tm 0.000 0.000 0.186
Tm 0.000 0.000 0.372
Tm 0.000 0.000 0.628
Tm 0.000 0.000 0.814
Cd 0.500 0.500 0.500
Co 0.500 0.500 0.093
Co 0.500 0.500 0.283
Co 0.500 0.500 0.717
Co 0.500 0.500 0.907

Summary:
magnetization	1.46	μB per formula unit
formation energy from the elements	-0.252	eV per atom